No. 1
A plane-wave DFT calculation with PBE was carried out for a relaxed structure of Ba2Cd3Ag4Au. Values from VASP.

Quantum ESPRESSO input file:
```
&SYSTEM
  ibrav = 0, nat = 10, ntyp = 4
/
ATOMIC_SPECIES
Cd 112.41 Cd.upf
Ag 107.87 Ag.upf
Ba 137.33 Ba.upf
Au 196.97 Au.upf
CELL_PARAMETERS angstrom
4.984 0.000 0.000
0.000 4.984 0.000
0.000 0.000 10.912
ATOMIC_POSITIONS crystal
Cd 0.000 0.500 0.123
Cd 0.500 0.000 0.877
Cd 0.000 0.000 0.500
Ag 0.500 0.000 0.625
Ag 0.500 0.500 0.000
Ag 0.000 0.500 0.375
Ag 0.000 0.000 0.000
Ba 0.500 0.000 0.255
Ba 0.000 0.500 0.745
Au 0.500 0.500 0.500
```

* density of states at the Fermi level: 4.45 states/eV per cell
* SG: P-4m2 (115)
* ΔE_f: -0.258 eV/atom

***

No. 2
A plane-wave DFT calculation with PBE was carried out for a relaxed structure of BaCd3AgAu. Values from VASP.

Quantum ESPRESSO input file:
```
&SYSTEM
  ibrav = 0, nat = 12, ntyp = 4
/
ATOMIC_SPECIES
Au 196.97 Au.upf
Cd 112.41 Cd.upf
Ag 107.87 Ag.upf
Ba 137.33 Ba.upf
CELL_PARAMETERS angstrom
6.342 0.000 0.000
0.000 7.330 0.000
0.000 -3.665 7.010
ATOMIC_POSITIONS crystal
Au 0.250 0.351 0.701
Au 0.750 0.649 0.299
Cd 0.500 0.303 0.000
Cd 0.250 0.149 0.298
Cd 0.750 0.851 0.702
Cd 0.500 0.697 0.000
Cd 0.000 0.303 0.000
Cd 0.000 0.697 0.000
Ag 0.250 0.950 0.900
Ag 0.750 0.050 0.100
Ba 0.250 0.722 0.444
Ba 0.750 0.278 0.556
```

* density of states at the Fermi level: 7.32 states/eV per cell
* SG: Cmcm (63)
* ΔE_f: -0.208 eV/atom